VASP calculation (GGA+U) on a relaxed CsPa4Co3O12 crystal.

Properties
- DOS(E_F): 0.5 states/eV per cell
- Electronic total energy: -8.2608 eV per atom

a = 7.2157 Å, b = 7.2157 Å, c = 7.2157 Å
α = 109.47°, β = 109.47°, γ = 109.47°
Atoms (fractional coordinates):
Cs: 0.0000 0.0000 0.0000
Pa: 0.0000 0.0000 0.5000
Pa: 0.0000 0.5000 0.0000
Pa: 0.5000 0.0000 0.0000
Pa: 0.5000 0.5000 0.5000
Co: 0.0000 0.5000 0.5000
Co: 0.5000 0.0000 0.5000
Co: 0.5000 0.5000 0.0000
O: 0.1271 0.3098 0.8173
O: 0.1827 0.4924 0.3098
O: 0.1827 0.8729 0.6902
O: 0.3098 0.1827 0.4924
O: 0.3098 0.8173 0.1271
O: 0.4924 0.3098 0.1827
O: 0.5076 0.6902 0.8173
O: 0.6902 0.1827 0.8729
O: 0.6902 0.8173 0.5076
O: 0.8173 0.1271 0.3098
O: 0.8173 0.5076 0.6902
O: 0.8729 0.6902 0.1827